The following is a PBE calculation of an optimized crystal structure of NaReH3, from the Alexandria database.

Lattice parameters (Å, degrees): 3.5760 3.5760 3.5760 90.00 90.00 90.00
Last column: nearest neighbours and their distance in Å.
Positions (direct):
Na: 0.0000 0.0000 0.0000  12 H 2.53
Re: 0.5000 0.5000 0.5000  6 H 1.79
H: 0.0000 0.5000 0.5000  2 Re 1.79
H: 0.5000 0.0000 0.5000  2 Re 1.79
H: 0.5000 0.5000 0.0000  2 Re 1.79

Computed properties:
Calculated total energy in eV/atom: -4.485
Polymorph energy (0 for the lowest one) in meV per atom: 0
Crystal system: cubic